[1]
Material: SrPbCl2
Method: DFT, SCAN
State: PBEsol geometry

Cell lengths 6.880, 6.880, 6.880 Å; angles 144.51, 144.51, 51.06 degrees
Positions (direct):
Sr (0.000, 0.000, 0.000)
Pb (0.250, 0.750, 0.500)
Cl (0.500, 0.500, 0.000)
Cl (0.750, 0.250, 0.500)

SG: I-4m2 (119)
Energy relative to the elements, uncorrected in eV/atom: -1.37

=====

[2]
Material: TeRu2Pt
Method: DFT, SCAN
State: PBEsol geometry

Cell lengths 2.919, 3.795, 5.743 Å; angles 90.00, 90.00, 90.00 degrees
Positions (direct):
Te (0.000, 0.000, 0.000)
Ru (0.000, 0.000, 0.536)
Ru (0.500, 0.500, 0.747)
Pt (0.500, 0.500, 0.297)

SG: Pmm2 (25)
Energy relative to the elements, uncorrected in eV/atom: 0.29

=====

[3]
Material: SnPt2Cl
Method: DFT, SCAN
State: PBEsol geometry

Cell lengths 4.604, 4.604, 4.604 Å; angles 60.00, 60.00, 60.00 degrees
Positions (direct):
Sn (0.000, 0.000, 0.000)
Pt (0.250, 0.250, 0.250)
Pt (0.750, 0.750, 0.750)
Cl (0.500, 0.500, 0.500)

SG: Fm-3m (225)
Energy relative to the elements, uncorrected in eV/atom: 0.26

=====

[4]
Material: ZnCo2Si
Method: DFT, SCAN
State: PBEsol geometry

Cell lengths 2.697, 2.697, 5.931 Å; angles 90.00, 90.00, 90.00 degrees
Positions (direct):
Zn (0.000, 0.000, 0.000)
Co (0.500, 0.500, 0.276)
Co (0.500, 0.500, 0.724)
Si (0.000, 0.000, 0.500)

SG: P4/mmm (123)
Energy relative to the elements, uncorrected in eV/atom: -0.32

=====

[5]
Material: CsCd3Au
Method: DFT, SCAN
State: PBEsol geometry

Cell lengths 5.336, 5.336, 5.336 Å; angles 90.00, 90.00, 90.00 degrees
Positions (direct):
Cs (0.000, 0.000, 0.000)
Cd (0.000, 0.500, 0.500)
Cd (0.500, 0.000, 0.500)
Cd (0.500, 0.500, 0.000)
Au (0.500, 0.500, 0.500)

SG: Pm-3m (221)
Formation enthalpy at 0 K in eV/atom: -0.192

=====

[6]
Material: Sr2ZnP
Method: DFT, SCAN
State: PBEsol geometry

Cell lengths 5.267, 5.267, 5.267 Å; angles 60.00, 60.00, 60.00 degrees
Positions (direct):
Sr (0.000, 0.000, 0.000)
Sr (0.250, 0.250, 0.250)
Zn (0.500, 0.500, 0.500)
P (0.750, 0.750, 0.750)

SG: F-43m (216)
Formation enthalpy at 0 K in eV/atom: -0.004

=====

no.,total moment (μB per cell)
1,0.0
2,0.0
3,0.0
4,0.6
5,0.0
6,0.0